# ScMn2PdO | Alexandria | PBE with a Hubbard U | optimized geometry
data_ScMn2PdO
_chemical_formula_sum 'Sc1 Mn2 Pd1 O1'
_cell_length_a 4.093
_cell_length_b 4.093
_cell_length_c 5.154
_cell_angle_alpha 90.00
_cell_angle_beta 90.00
_cell_angle_gamma 90.00
_space_group_name_H-M_alt 'P 4/m m m'
_space_group_IT_number 123
_space_group_name_Hall '-P 4 2'
loop_
_atom_site_label
_atom_site_fract_x
_atom_site_fract_y
_atom_site_fract_z
Sc1 0.000 0.000 0.000
Mn1 0.000 0.500 0.500
Pd1 0.500 0.500 0.000
O1 0.500 0.500 0.500
# **VASP energy**: -6.6059 eV per atom